VASP calculation (SCAN) on a crystal of CdFe2Se relaxed with PBEsol.

abc: 3.782 3.782 4.991
angles: 112.26 112.26 90.00
Fractional positions:
Fe1 0.750 0.250 0.500
Cd1 0.250 0.750 0.500
Fe2 0.000 0.000 0.000
Se1 0.500 0.500 0.000

Properties
crystal system: tetragonal
total energy: -21.3034 eV per atom
E_form (uncorrected): 0.385 eV per atom

VASP calculation (SCAN) on a crystal of HfNi2PtSe relaxed with PBEsol.

abc: 4.204 4.204 4.805
angles: 90.00 90.00 90.00
Fractional positions:
Pt1 0.000 0.000 0.500
Ni1 0.500 0.000 0.000
Ni2 0.000 0.500 0.000
Hf1 0.500 0.500 0.500
Se1 0.000 0.000 0.000

Properties
crystal system: tetragonal
total energy: -36.8345 eV per atom
E_form (uncorrected): 0.224 eV per atom

VASP calculation (SCAN) on a crystal of Zr2CoCu relaxed with PBEsol.

abc: 3.205 4.272 5.418
angles: 113.22 107.20 90.00
Fractional positions:
Cu1 0.215 0.715 0.430
Zr1 0.778 0.278 0.556
Co1 0.505 0.505 0.010
Zr2 0.002 0.002 0.003

Properties
formation energy from the elements: -0.0484 eV per atom
crystal system: orthorhombic
total energy: -23.5237 eV per atom

VASP calculation (SCAN) on a crystal of PdAuN3 relaxed with PBEsol.

abc: 3.992 3.992 3.992
angles: 90.00 90.00 90.00
Fractional positions:
N1 0.000 0.500 0.000
N2 0.000 0.000 0.500
Au1 0.000 0.000 0.000
N3 0.500 0.000 0.000
Pd1 0.500 0.500 0.500

Properties
crystal system: cubic
total energy: -23.5511 eV per atom
E_form (uncorrected): 2.410 eV per atom

VASP calculation (SCAN) on a crystal of BaZnF2 relaxed with PBEsol.

abc: 3.880 3.880 6.874
angles: 73.61 73.61 60.00
Fractional positions:
F1 0.128 0.128 0.617
Zn1 0.500 0.500 0.500
Ba1 0.000 0.000 0.000
F2 0.872 0.872 0.383

Properties
crystal system: trigonal
total energy: -16.7285 eV per atom
E_form (uncorrected): -1.692 eV per atom

VASP calculation (SCAN) on a crystal of MgRh3 relaxed with PBEsol.

abc: 2.719 4.661 4.661
angles: 109.16 90.00 90.00
Fractional positions:
Rh1 0.000 0.500 0.500
Mg1 0.000 0.000 0.000
Rh2 0.500 0.500 0.000
Rh3 0.500 0.000 0.500

Properties
formation energy from the elements: -0.2645 eV per atom
crystal system: orthorhombic
total energy: -26.8366 eV per atom